Entry 1:
Below is a relaxed Li2PuPaSe4 crystal, with properties calculated at the PBE level.

Computed properties:
crystal system: monoclinic
energy relative to the elements, uncorrected: -1364 meV/atom
size of the total moment: 7.00 μB per formula unit

a = 4.075 Å, b = 7.091 Å, c = 6.937 Å
α = 109.64°, β = 90.00°, γ = 90.00°
Fractional positions:
Li 0.500 0.000 0.500
Li 0.000 0.500 0.500
Pu 0.500 0.500 0.000
Pa 0.000 0.000 0.000
Se 0.500 0.249 0.261
Se 0.500 0.751 0.739
Se 0.000 0.241 0.742
Se 0.000 0.759 0.258

Entry 2:
Below is a relaxed LiPuPa2Se6 crystal, with properties calculated at the PBE level.

Computed properties:
crystal system: tetragonal
energy relative to the elements, uncorrected: -963 meV/atom
size of the total moment: 7.00 μB per formula unit

a = 7.086 Å, b = 6.416 Å, c = 6.416 Å
α = 90.00°, β = 90.00°, γ = 90.00°
Fractional positions:
Li 0.537 0.000 0.000
Pu 0.557 0.500 0.500
Pa 0.998 0.500 0.000
Pa 0.998 0.000 0.500
Se 0.757 0.240 0.240
Se 0.757 0.240 0.760
Se 0.153 0.500 0.500
Se 0.176 0.000 0.000
Se 0.757 0.760 0.760
Se 0.757 0.760 0.240

Entry 3:
Below is a relaxed Li2PuPaTe4 crystal, with properties calculated at the PBE level.

Computed properties:
crystal system: monoclinic
energy relative to the elements, uncorrected: -952 meV/atom
size of the total moment: 7.00 μB per formula unit

a = 4.331 Å, b = 7.547 Å, c = 7.529 Å
α = 109.18°, β = 90.00°, γ = 90.00°
Fractional positions:
Li 0.500 0.000 0.500
Li 0.000 0.500 0.500
Pu 0.500 0.500 0.000
Pa 0.000 0.000 0.000
Te 0.500 0.250 0.262
Te 0.500 0.750 0.738
Te 0.000 0.241 0.740
Te 0.000 0.759 0.260

Entry 4:
Below is a relaxed Li3PuPa2Te6 crystal, with properties calculated at the PBE level.

Computed properties:
crystal system: monoclinic
energy relative to the elements, uncorrected: -889 meV/atom
size of the total moment: 3.22 μB per formula unit

a = 7.478 Å, b = 7.478 Å, c = 7.577 Å
α = 99.48°, β = 99.48°, γ = 119.93°
Fractional positions:
Li 0.165 0.835 0.500
Li 0.835 0.165 0.500
Li 0.500 0.500 0.500
Pu 0.000 0.000 0.000
Pa 0.334 0.666 0.000
Pa 0.666 0.334 0.000
Te 0.913 0.574 0.738
Te 0.749 0.749 0.263
Te 0.087 0.426 0.262
Te 0.574 0.913 0.738
Te 0.251 0.251 0.737
Te 0.426 0.087 0.262

Entry 5:
Below is a relaxed Rb3LiPa2S6 crystal, with properties calculated at the PBE level.

Computed properties:
crystal system: monoclinic
energy relative to the elements, uncorrected: -1478 meV/atom
size of the total moment: 2.01 μB per formula unit

a = 7.123 Å, b = 7.123 Å, c = 8.019 Å
α = 98.42°, β = 98.42°, γ = 120.07°
Fractional positions:
Rb 0.159 0.841 0.500
Rb 0.841 0.159 0.500
Rb 0.500 0.500 0.500
Li 0.000 0.000 0.000
Pa 0.333 0.667 0.000
Pa 0.667 0.333 0.000
S 0.936 0.585 0.807
S 0.715 0.715 0.189
S 0.064 0.415 0.193
S 0.585 0.936 0.807
S 0.285 0.285 0.811
S 0.415 0.064 0.193

Entry 6:
Below is a relaxed RbLi2PaS4 crystal, with properties calculated at the PBE level.

Computed properties:
crystal system: tetragonal
energy relative to the elements, uncorrected: -1278 meV/atom
size of the total moment: 0.00 μB per formula unit

a = 6.980 Å, b = 6.556 Å, c = 6.556 Å
α = 64.32°, β = 57.84°, γ = 57.84°
Fractional positions:
Rb 0.000 0.000 0.000
Li 0.250 0.250 0.250
Li 0.750 0.750 0.750
Pa 0.500 0.500 0.500
S 0.466 0.120 0.534
S 0.120 0.880 0.466
S 0.880 0.534 0.120
S 0.534 0.466 0.880

Entry 7:
Below is a relaxed RbLiPaS4 crystal, with properties calculated at the PBE level.

Computed properties:
crystal system: monoclinic
energy relative to the elements, uncorrected: -1329 meV/atom
size of the total moment: 0.00 μB per formula unit

a = 6.939 Å, b = 5.423 Å, c = 9.543 Å
α = 90.00°, β = 107.59°, γ = 90.00°
Fractional positions:
Rb 0.746 0.750 0.956
Rb 0.254 0.250 0.044
Li 0.249 0.750 0.316
Li 0.751 0.250 0.684
Pa 0.732 0.750 0.440
Pa 0.268 0.250 0.560
S 0.018 0.518 0.685
S 0.982 0.018 0.315
S 0.982 0.482 0.315
S 0.018 0.982 0.685
S 0.477 0.750 0.183
S 0.523 0.250 0.817
S 0.428 0.750 0.569
S 0.572 0.250 0.431

Entry 8:
Below is a relaxed Rb2LiPa3S8 crystal, with properties calculated at the PBE level.

Computed properties:
crystal system: trigonal
energy relative to the elements, uncorrected: -1545 meV/atom
size of the total moment: 2.03 μB per formula unit

a = 8.095 Å, b = 8.095 Å, c = 9.406 Å
α = 64.51°, β = 64.51°, γ = 60.00°
Fractional positions:
Rb 0.134 0.134 0.597
Rb 0.491 0.491 0.528
Li 0.973 0.973 0.080
Pa 0.491 0.988 0.029
Pa 0.988 0.491 0.029
Pa 0.491 0.491 0.029
S 0.266 0.266 0.202
S 0.716 0.716 0.852
S 0.224 0.224 0.855
S 0.696 0.224 0.855
S 0.224 0.696 0.855
S 0.757 0.282 0.204
S 0.282 0.757 0.204
S 0.757 0.757 0.204